The following is a DFT calculation (PBE) of a relaxed structure of Sm2YGe3Pt4.

Properties
The value obtained for the total magnetization is 0.00 μB per formula unit. As for the formation energy: -953 meV per atom.

Cell: 4.2731 4.2731 11.2955 Å, 90.00 90.00 90.00°
Closest atoms and distances in Å follow each position.
Fractional positions:
Pt (0.0000, 0.5000, 0.3410)  1 Ge 2.45
Pt (0.0000, 0.0000, 0.0000)  4 Ge 2.56
Pt (0.5000, 0.0000, 0.6590)  1 Ge 2.45
Pt (0.5000, 0.5000, 0.0000)  4 Ge 2.56
Sm (0.0000, 0.5000, 0.7796)  4 Ge 3.21, 8 Pt 3.28-3.31
Sm (0.5000, 0.0000, 0.2204)  4 Ge 3.21, 8 Pt 3.28-3.31
Ge (0.0000, 0.5000, 0.1242)  5 Pt 2.45-2.56
Ge (0.0000, 0.0000, 0.5000)  4 Pt 2.79, 4 Y 3.02
Ge (0.5000, 0.0000, 0.8758)  5 Pt 2.45-2.56
Y (0.5000, 0.5000, 0.5000)  4 Pt 2.79, 4 Ge 3.02


The following is a DFT calculation (PBE) of a relaxed structure of Nd4Y10Ho.

Properties
The value obtained for the total magnetization is 0.00 μB per formula unit. As for the formation energy: 269 meV per atom.

Cell: 7.9333 8.9824 8.9824 Å, 78.75 63.79 63.79°
Closest atoms and distances in Å follow each position.
Fractional positions:
Y (0.7091, 0.2095, 0.7906)  4 Y 3.32-3.38, 1 Ho 3.32, 4 Nd 3.49-3.58
Y (0.0813, 0.2094, 0.2095)  4 Y 3.32-3.38, 1 Ho 3.32, 4 Nd 3.49-3.58
Y (0.2909, 0.7905, 0.2094)  4 Y 3.32-3.38, 1 Ho 3.32, 4 Nd 3.49-3.58
Y (0.7500, 0.5000, 0.5000)  4 Y 3.33
Y (0.5003, 0.7906, 0.7905)  4 Y 3.32-3.38, 1 Ho 3.32, 4 Nd 3.49-3.58
Y (0.9187, 0.7906, 0.7905)  4 Y 3.32-3.38, 1 Ho 3.32, 4 Nd 3.49-3.58
Y (0.7092, 0.7905, 0.2094)  4 Y 3.32-3.38, 1 Ho 3.32, 4 Nd 3.49-3.58
Y (0.2500, 0.5000, 0.5000)  4 Y 3.33
Y (0.4997, 0.2094, 0.2095)  4 Y 3.32-3.38, 1 Ho 3.32, 4 Nd 3.49-3.58
Y (0.2908, 0.2095, 0.7906)  4 Y 3.32-3.38, 1 Ho 3.32, 4 Nd 3.49-3.58
Nd (0.2283, 0.0004, 0.5429)  8 Y 3.49-3.58, 1 Ho 3.68
Nd (0.7712, 0.4571, 0.0004)  8 Y 3.49-3.58, 1 Ho 3.68
Nd (0.2288, 0.5429, 0.9996)  8 Y 3.49-3.58, 1 Ho 3.68
Nd (0.7717, 0.9996, 0.4571)  8 Y 3.49-3.58, 1 Ho 3.68
Ho (0.0000, 0.0000, 0.0000)  8 Y 3.32, 4 Nd 3.68


The following is a DFT calculation (PBE) of a relaxed structure of Ni2PbCl.

Properties
As for the uncorrected formation energy: 0.092 eV/atom. The value obtained for the total magnetization is 1.16 μB per formula unit. The value obtained for the energy above the most stable polymorph in this dataset is 16.2 kJ/mol of formula units.

Cell: 3.2533 3.2533 7.3551 Å, 90.00 90.00 89.98°
Closest atoms and distances in Å follow each position.
Fractional positions:
Ni (0.5000, 0.5000, 0.1759)  1 Cl 2.25, 4 Ni 2.52
Ni (0.0000, 0.0000, 0.0375)  4 Ni 2.52, 4 Cl 2.61, 1 Pb 2.79
Pb (0.0000, 0.0000, 0.4169)  5 Ni 2.79-2.90
Cl (0.5000, 0.5000, 0.8697)  1 Ni 2.25


The following is a DFT calculation (PBE) of a relaxed structure of Li2TlVCl8.

Properties
As for the uncorrected formation energy: -1.208 eV/atom. The value obtained for the total magnetization is 1.63 μB per formula unit.

Cell: 6.1401 6.0337 7.7807 Å, 89.98 90.02 95.45°
Closest atoms and distances in Å follow each position.
Fractional positions:
Cl (0.3257, 0.3084, 0.5000)  2 Li 2.52, 1 Tl 2.60
Cl (0.1740, 0.8040, 0.7842)  1 V 2.37
Cl (0.6743, 0.6916, 0.5000)  2 Li 2.52, 1 Tl 2.60
Cl (0.7023, 0.7217, 0.0000)  1 V 2.36, 2 Li 2.55
Cl (0.2977, 0.2783, 0.0000)  1 V 2.36, 2 Li 2.55
Cl (0.8260, 0.1960, 0.2158)  1 V 2.37
Cl (0.8258, 0.1962, 0.7840)  1 V 2.37
Cl (0.1742, 0.8038, 0.2160)  1 V 2.37
Li (0.4990, 0.5010, 0.2398)  4 Cl 2.52-2.55
Li (0.5010, 0.4990, 0.7602)  4 Cl 2.52-2.55
Tl (0.0000, 0.0000, 0.5000)  6 Cl 2.60-2.77
V (0.0000, 0.0000, 0.0000)  6 Cl 2.36-2.37


The following is a DFT calculation (PBE) of a relaxed structure of Be2FeCu.

Properties
The value obtained for the total magnetization is 0.39 μB per formula unit. As for the formation energy: -137 meV per atom.

Cell: 3.6552 3.6552 2.7577 Å, 90.00 90.00 90.00°
Closest atoms and distances in Å follow each position.
Fractional positions:
Fe (0.0000, 0.5000, 0.5000)  8 Be 2.29
Be (0.0000, 0.0000, 0.0000)  4 Cu 2.29, 4 Fe 2.29
Be (0.5000, 0.5000, 0.0000)  4 Fe 2.29, 4 Cu 2.29
Cu (0.5000, 0.0000, 0.5000)  8 Be 2.29


The following is a DFT calculation (PBE) of a relaxed structure of ZnW2Se.

Properties
As for the uncorrected formation energy: 0.807 eV/atom. The value obtained for the total magnetization is 0.00 μB per formula unit. The value obtained for the energy above the most stable polymorph in this dataset is 197.7 kJ/mol of formula units.

Cell: 4.5482 3.8241 3.8241 Å, 90.00 90.00 90.00°
Closest atoms and distances in Å follow each position.
Fractional positions:
Se (0.5000, 0.0000, 0.5000)  4 Zn 2.70, 8 W 2.97
W (0.0000, 0.0000, 0.0000)  4 W 2.70, 4 Se 2.97, 4 Zn 2.97
W (0.0000, 0.5000, 0.5000)  4 W 2.70, 4 Se 2.97, 4 Zn 2.97
Zn (0.5000, 0.5000, 0.0000)  4 Se 2.70, 8 W 2.97


The following is a DFT calculation (PBE) of a relaxed structure of YPaTc2.

Properties
The value obtained for the total magnetization is 0.00 μB per formula unit. The value obtained for the energy above the most stable polymorph in this dataset is 28.8 kJ/mol of formula units. As for the formation energy: -134 meV per atom.

Cell: 4.8493 4.8493 4.8493 Å, 60.00 60.00 60.00°
Closest atoms and distances in Å follow each position.
Fractional positions:
Tc (0.2500, 0.2500, 0.2500)  4 Pa 2.97, 4 Y 2.97
Tc (0.7500, 0.7500, 0.7500)  4 Pa 2.97, 4 Y 2.97
Y (0.5000, 0.5000, 0.5000)  8 Tc 2.97
Pa (0.0000, 0.0000, 0.0000)  8 Tc 2.97


The following is a DFT calculation (PBE) of a relaxed structure of ZnH.

Properties
The value obtained for the total magnetization is 0.00 μB per formula unit. Its raw total energy is -24.57 eV for the cell shown.

Cell: 6.3211 4.6593 4.8636 Å, 90.00 90.00 90.00°
Closest atoms and distances in Å follow each position.
Fractional positions:
Zn (0.2879, 0.2180, 0.3728)  3 H 1.82-1.90
Zn (0.7879, 0.7820, 0.8728)  3 H 1.82-1.90
Zn (0.7121, 0.2180, 0.3728)  3 H 1.82-1.90
Zn (0.2121, 0.7820, 0.8728)  3 H 1.82-1.90
Zn (0.5000, 0.3218, 0.9428)  3 H 1.71-1.84
Zn (0.0000, 0.6782, 0.4428)  3 H 1.71-1.84
H (0.0000, 0.3268, 0.3380)  3 Zn 1.71-1.90
H (0.2009, 0.8654, 0.2377)  3 Zn 1.82-1.85
H (0.7009, 0.1346, 0.7377)  3 Zn 1.82-1.85
H (0.2991, 0.1346, 0.7377)  3 Zn 1.82-1.85
H (0.5000, 0.6732, 0.8380)  3 Zn 1.71-1.90
H (0.7991, 0.8654, 0.2377)  3 Zn 1.82-1.85


The following is a DFT calculation (PBE) of a relaxed structure of Na2Tl2Cl.

Properties
As for the uncorrected formation energy: -0.507 eV/atom. The value obtained for the total magnetization is 0.00 μB per formula unit.

Cell: 7.2495 7.2495 5.8481 Å, 90.00 90.00 90.00°
Closest atoms and distances in Å follow each position.
Fractional positions:
Tl (0.6491, 0.8509, 0.5000)  1 Tl 3.06
Tl (0.1491, 0.6491, 0.5000)  1 Tl 3.06
Tl (0.3509, 0.1491, 0.5000)  1 Tl 3.06
Tl (0.8509, 0.3509, 0.5000)  1 Tl 3.06
Na (0.1696, 0.3304, 0.0000)  2 Cl 2.69
Na (0.6696, 0.1696, 0.0000)  2 Cl 2.69
Na (0.3304, 0.8304, 0.0000)  2 Cl 2.69
Na (0.8304, 0.6696, 0.0000)  2 Cl 2.69
Cl (0.0000, 0.0000, 0.0000)  4 Na 2.69
Cl (0.5000, 0.5000, 0.0000)  4 Na 2.69


The following is a DFT calculation (PBE) of a relaxed structure of NaSbAu3.

Properties
As for the uncorrected formation energy: -0.147 eV/atom. The value obtained for the total magnetization is 0.00 μB per formula unit. The value obtained for the energy above the most stable polymorph in this dataset is 0.0 kJ/mol of formula units.

Cell: 5.4553 7.1415 5.8212 Å, 90.00 90.00 90.00°
Closest atoms and distances in Å follow each position.
Fractional positions:
Na (0.9540, 0.0096, 0.2008)  7 Au 2.93-3.25
Na (0.4541, 0.3433, 0.7009)  7 Au 2.93-3.25
Au (0.3926, 0.2466, 0.2008)  1 Sb 2.68, 2 Au 2.80, 1 Na 2.93
Au (0.4724, 0.9183, 0.9477)  2 Sb 2.78-2.83, 4 Au 2.80-3.02, 1 Na 3.08
Au (0.9725, 0.4344, 0.4477)  2 Sb 2.78-2.83, 4 Au 2.80-3.02, 1 Na 3.08
Au (0.4723, 0.9183, 0.4538)  2 Sb 2.78-2.83, 4 Au 2.80-3.02, 1 Na 3.08
Au (0.9724, 0.4345, 0.9538)  2 Sb 2.78-2.83, 4 Au 2.80-3.02, 1 Na 3.08
Au (0.8926, 0.1061, 0.7008)  1 Sb 2.68, 2 Au 2.80, 1 Na 2.93
Sb (0.5867, 0.5911, 0.2008)  5 Au 2.68-2.83
Sb (0.0866, 0.7616, 0.7007)  5 Au 2.68-2.83


The following is a DFT calculation (PBE) of a relaxed structure of NaGa3W.

Properties
The value obtained for the total magnetization is 0.00 μB per formula unit. The value obtained for the energy above the most stable polymorph in this dataset is 0.0 kJ/mol of formula units. As for the formation energy: 232 meV per atom.

Cell: 4.9616 4.9616 4.9616 Å, 90.00 90.00 90.00°
Closest atoms and distances in Å follow each position.
Fractional positions:
Ga (0.0000, 0.5000, 0.0000)  2 W 2.48
Ga (0.5000, 0.0000, 0.0000)  2 W 2.48
Ga (0.0000, 0.0000, 0.5000)  2 W 2.48
W (0.0000, 0.0000, 0.0000)  6 Ga 2.48
Na (0.5000, 0.5000, 0.5000)  12 Ga 3.51


The following is a DFT calculation (PBE) of a relaxed structure of Nd6Co2SiCl3.

Properties
As for the uncorrected formation energy: -0.922 eV/atom. The value obtained for the total magnetization is 0.00 μB per formula unit.

Cell: 4.0496 8.8177 9.6155 Å, 107.95 102.16 90.00°
Closest atoms and distances in Å follow each position.
Fractional positions:
Nd (0.3361, 0.8739, 0.6722)  2 Co 2.77, 1 Si 2.93
Nd (0.9811, 0.7547, 0.9621)  1 Co 2.71, 2 Si 2.90
Nd (0.0189, 0.2453, 0.0379)  1 Co 2.71, 2 Si 2.90
Nd (0.6777, 0.5632, 0.3553)  3 Co 2.71-2.77
Nd (0.3223, 0.4368, 0.6447)  3 Co 2.71-2.77
Nd (0.6639, 0.1261, 0.3278)  2 Co 2.77, 1 Si 2.93
Cl (0.1608, 0.8416, 0.3217)  6 Nd 3.21-3.27
Cl (0.8392, 0.1584, 0.6783)  6 Nd 3.21-3.27
Cl (0.5000, 0.5000, 0.0000)  6 Nd 3.13-3.21
Si (0.5000, 0.0000, 0.0000)  6 Nd 2.90-2.93
Co (0.1706, 0.3437, 0.3411)  6 Nd 2.71-2.77
Co (0.8294, 0.6563, 0.6589)  6 Nd 2.71-2.77


What is the total magnetization in the ninth record?
0.00 μB per formula unit


Which formula does entry 4 have?
Li2TlVCl8